No. 1
## KLaZnCl6 (PBE)

Data for KLaZnCl6 after structural relaxation.

Properties
Total energy = -3.8918 eV/atom
Theoretical density = 2.7 g/cm3
SG = P-31c
ΔE_f (raw) = -42.66 kcal/mol of atoms
Spin magnetization = 0.0 Bohr magnetons per cell

Cell lengths 6.9376, 6.9376, 13.6851 Å; angles 90.00, 90.00, 120.00 degrees
With the nearest neighbours (Å) after each atom.
Element x y z (fractional)
K: 0.0000 0.0000 0.0000  6 Cl 3.21
K: 0.0000 0.0000 0.5000  6 Cl 3.21
La: 0.3333 0.6667 0.2500  6 Cl 2.80
La: 0.6667 0.3333 0.7500  6 Cl 2.80
Zn: 0.6667 0.3333 0.2500  6 Cl 2.51
Zn: 0.3333 0.6667 0.7500  6 Cl 2.51
Cl: 0.6484 0.6163 0.1420  1 Zn 2.51, 1 La 2.80
Cl: 0.9679 0.3516 0.1420  1 Zn 2.51, 1 La 2.80
Cl: 0.3516 0.9679 0.6420  1 Zn 2.51, 1 La 2.80
Cl: 0.0321 0.6484 0.8580  1 Zn 2.51, 1 La 2.80
Cl: 0.3837 0.3516 0.3580  1 Zn 2.51, 1 La 2.80
Cl: 0.9679 0.6163 0.3580  1 Zn 2.51, 1 La 2.80
Cl: 0.6163 0.9679 0.8580  1 Zn 2.51, 1 La 2.80
Cl: 0.6484 0.0321 0.3580  1 Zn 2.51, 1 La 2.80
Cl: 0.0321 0.3837 0.6420  1 Zn 2.51, 1 La 2.80
Cl: 0.3837 0.0321 0.1420  1 Zn 2.51, 1 La 2.80
Cl: 0.6163 0.6484 0.6420  1 Zn 2.51, 1 La 2.80
Cl: 0.3516 0.3837 0.8580  1 Zn 2.51, 1 La 2.80

=====

No. 2
## KLaZn2Cl (PBE)

Data for KLaZn2Cl after structural relaxation.

Properties
Total energy = -1.8094 eV/atom
Theoretical density = 1.3 g/cm3
SG = P4/mmm
ΔE_f (raw) = 6.33 kcal/mol of atoms
Spin magnetization = 2.0 Bohr magnetons per cell

Cell lengths 5.6585, 13.3770, 5.6585 Å; angles 90.00, 90.00, 90.00 degrees
With the nearest neighbours (Å) after each atom.
Element x y z (fractional)
Zn: 0.0000 0.0000 0.5000  2 La 2.83
Zn: 0.5000 0.0000 0.0000  2 La 2.83
Cl: 0.5000 0.5000 0.5000  4 K 4.00
K: 0.0000 0.5000 0.0000  4 Cl 4.00
La: 0.0000 0.0000 0.0000  4 Zn 2.83

=====

No. 3
## KLi3Cl4 (PBE)

Data for KLi3Cl4 after structural relaxation.

Properties
Total energy = -3.6061 eV/atom
Theoretical density = 1.7 g/cm3
SG = Pmn2_1
ΔE_f (raw) = -42.15 kcal/mol of atoms
Spin magnetization = 0.0 Bohr magnetons per cell

Cell lengths 6.6920, 7.0299, 8.5783 Å; angles 90.00, 90.00, 90.00 degrees
With the nearest neighbours (Å) after each atom.
Element x y z (fractional)
K: 0.0080 0.1789 0.0000  4 Cl 2.99-3.11
K: 0.5080 0.8211 0.5000  4 Cl 2.99-3.11
Cl: 0.1425 0.7639 0.0000  3 Li 2.39-2.45
Cl: 0.5438 0.1494 0.0000  3 Li 2.44-2.50
Cl: 0.1561 0.3616 0.2928  3 Li 2.38
Cl: 0.6561 0.6384 0.2072  3 Li 2.38
Cl: 0.0438 0.8506 0.5000  3 Li 2.44-2.50
Cl: 0.6425 0.2361 0.5000  3 Li 2.39-2.45
Cl: 0.6561 0.6384 0.7928  3 Li 2.38
Cl: 0.1561 0.3616 0.7072  3 Li 2.38
Li: 0.4966 0.8048 0.0000  4 Cl 2.38-2.44
Li: 0.0061 0.6645 0.2528  4 Cl 2.38-2.50
Li: 0.5061 0.3355 0.2472  4 Cl 2.38-2.50
Li: 0.9966 0.1952 0.5000  4 Cl 2.38-2.44
Li: 0.5061 0.3355 0.7528  4 Cl 2.38-2.50
Li: 0.0061 0.6645 0.7472  4 Cl 2.38-2.50

=====

No. 4
## KLiCl2 (PBE)

Data for KLiCl2 after structural relaxation.

Properties
Total energy = -3.4235 eV/atom
Theoretical density = 1.3 g/cm3
SG = R-3m
ΔE_f (raw) = -40.30 kcal/mol of atoms
Spin magnetization = 0.0 Bohr magnetons per cell

Cell lengths 8.1637, 8.1637, 8.1637 Å; angles 33.51, 33.51, 33.51 degrees
With the nearest neighbours (Å) after each atom.
Element x y z (fractional)
K: 0.5000 0.5000 0.5000  6 Cl 3.19
Li: 0.0000 0.0000 0.0000  2 Cl 2.18
Cl: 0.9057 0.9057 0.9057  1 Li 2.18
Cl: 0.0943 0.0943 0.0943  1 Li 2.18

=====

No. 5
## K3LiCl (PBE)

Data for K3LiCl after structural relaxation.

Properties
Total energy = -2.0558 eV/atom
Theoretical density = 1.1 g/cm3
SG = Pm-3m
ΔE_f (raw) = -14.88 kcal/mol of atoms
Distance to the lowest polymorph of the same formula = 0.0 kJ per mole of atoms
Spin magnetization = 0.0 Bohr magnetons per cell

Cell lengths 6.2478, 6.2478, 6.2478 Å; angles 90.00, 90.00, 90.00 degrees
With the nearest neighbours (Å) after each atom.
Element x y z (fractional)
K: 0.0000 0.5000 0.0000  2 Cl 3.12
K: 0.0000 0.0000 0.5000  2 Cl 3.12
K: 0.5000 0.0000 0.0000  2 Cl 3.12
Li: 0.5000 0.5000 0.5000  12 K 4.42
Cl: 0.0000 0.0000 0.0000  6 K 3.12

=====

No. 6
## KLi3Cl (PBE)

Data for KLi3Cl after structural relaxation.

Properties
Total energy = -1.3627 eV/atom
Theoretical density = 0.7 g/cm3
SG = Pm-3m
ΔE_f (raw) = 8.63 kcal/mol of atoms
Distance to the lowest polymorph of the same formula = 75.0 kJ per mole of atoms
Spin magnetization = 0.0 Bohr magnetons per cell

Cell lengths 6.0805, 6.0805, 6.0805 Å; angles 90.00, 90.00, 90.00 degrees
With the nearest neighbours (Å) after each atom.
Element x y z (fractional)
K: 0.0000 0.0000 0.0000  6 Li 3.04
Li: 0.0000 0.5000 0.0000  2 K 3.04
Li: 0.0000 0.0000 0.5000  2 K 3.04
Li: 0.5000 0.0000 0.0000  2 K 3.04
Cl: 0.5000 0.5000 0.5000  12 Li 4.30

=====

No. 7
## KLiCl2 (PBE)

Data for KLiCl2 after structural relaxation.

Properties
Total energy = -3.3828 eV/atom
Theoretical density = 1.3 g/cm3
SG = Cmmm
ΔE_f (raw) = -39.36 kcal/mol of atoms
Spin magnetization = 0.0 Bohr magnetons per cell

Cell lengths 5.2483, 5.2483, 7.9275 Å; angles 90.00, 90.00, 137.46 degrees
With the nearest neighbours (Å) after each atom.
Element x y z (fractional)
Cl: 0.0000 0.0000 0.9599  2 Li 2.53
Cl: 0.0000 0.0000 0.5401  2 Li 2.53
K: 0.5000 0.5000 0.2500  4 Cl 2.99
Li: 0.5000 0.5000 0.7500  4 Cl 2.53

=====

No. 8
## KLi2Cl (PBE)

Data for KLi2Cl after structural relaxation.

Properties
Total energy = -2.3846 eV/atom
Theoretical density = 1.2 g/cm3
SG = R-3m
ΔE_f (raw) = -15.95 kcal/mol of atoms
Distance to the lowest polymorph of the same formula = 8.1 kJ per mole of atoms
Spin magnetization = 0.0 Bohr magnetons per cell

Cell lengths 10.2010, 10.2010, 10.2010 Å; angles 21.18, 21.18, 21.18 degrees
With the nearest neighbours (Å) after each atom.
Element x y z (fractional)
Cl: 0.2500 0.2500 0.2500  6 Li 2.61
K: 0.7500 0.7500 0.7500  6 K 3.75, 6 Li 4.14
Li: 0.9653 0.9653 0.9653  3 Cl 2.61
Li: 0.5347 0.5347 0.5347  3 Cl 2.61